1.
A plane-wave DFT calculation with PBE-GGA was carried out for AgAsCl6 after structural relaxation.

abc: 6.548 6.548 6.548
angles: 60.00 60.00 60.00
Sites, in units of the cell vectors:
1 Ag 0.000 0.000 0.000
2 As 0.250 0.250 0.250
3 Cl 0.742 0.258 0.258
4 Cl 0.258 0.742 0.258
5 Cl 0.742 0.742 0.258
6 Cl 0.258 0.258 0.742
7 Cl 0.742 0.258 0.742
8 Cl 0.258 0.742 0.742

Computed properties:
symmetry: F-43m (216)


2.
A plane-wave DFT calculation with PBE-GGA was carried out for Rb2AgAsCl6 after structural relaxation.

abc: 7.356 7.356 7.356
angles: 120.05 120.05 89.91
Sites, in units of the cell vectors:
1 Ag 0.500 0.500 0.000
2 As 0.000 0.000 0.000
3 Cl 0.241 0.241 0.000
4 Cl 0.758 0.242 0.000
5 Cl 0.242 0.758 0.000
6 Cl 0.759 0.759 0.000
7 Cl 0.242 0.242 0.483
8 Cl 0.758 0.758 0.517
9 Rb 0.750 0.250 0.500
10 Rb 0.250 0.750 0.500

Computed properties:
symmetry: I4/mmm (139)


3.
A plane-wave DFT calculation with PBE-GGA was carried out for Tl2AgAsCl6 after structural relaxation.

abc: 7.301 7.301 7.301
angles: 60.00 60.00 60.00
Sites, in units of the cell vectors:
1 Ag 0.000 0.000 0.000
2 As 0.500 0.500 0.500
3 Cl 0.742 0.742 0.258
4 Cl 0.742 0.258 0.258
5 Cl 0.258 0.742 0.258
6 Cl 0.258 0.258 0.742
7 Cl 0.742 0.258 0.742
8 Cl 0.258 0.742 0.742
9 Tl 0.250 0.250 0.250
10 Tl 0.750 0.750 0.750

Computed properties:
symmetry: Fm-3m (225)


4.
A plane-wave DFT calculation with PBE-GGA was carried out for CoAgAs after structural relaxation.

abc: 3.913 3.913 6.118
angles: 90.00 90.00 90.00
Each line ends with the local moment (μB).
Sites, in units of the cell vectors:
1 Ag 0.000 0.500 0.348  0.02
2 Ag 0.500 0.000 0.652  0.02
3 As 0.500 0.000 0.218  0.00
4 As 0.000 0.500 0.782  0.00
5 Co 0.000 0.000 0.000  0.58
6 Co 0.500 0.500 0.000  0.58

Computed properties:
symmetry: P4/nmm (129)
spin magnetization: 1.25 Bohr magnetons per cell


5.
A plane-wave DFT calculation with PBE-GGA was carried out for Co3AgAs5 after structural relaxation.

abc: 4.940 4.940 7.211
angles: 90.00 90.00 120.00
Sites, in units of the cell vectors:
1 Ag 0.000 0.000 0.000
2 As 0.667 0.333 0.226
3 As 0.333 0.667 0.226
4 As 0.000 0.000 0.500
5 As 0.667 0.333 0.774
6 As 0.333 0.667 0.774
7 Co 0.500 0.000 0.500
8 Co 0.000 0.500 0.500
9 Co 0.500 0.500 0.500

Computed properties:
symmetry: P6/mmm (191)
spin magnetization: 0.01 Bohr magnetons per cell


6.
A plane-wave DFT calculation with PBE-GGA was carried out for CoAg2As after structural relaxation.

abc: 4.483 4.483 4.483
angles: 60.00 60.00 60.00
Sites, in units of the cell vectors:
1 Ag 0.000 0.000 0.000
2 Ag 0.750 0.750 0.750
3 As 0.500 0.500 0.500
4 Co 0.250 0.250 0.250

Computed properties:
symmetry: F-43m (216)
spin magnetization: 0.00 Bohr magnetons per cell


7.
A plane-wave DFT calculation with PBE-GGA was carried out for CoCuAgAs after structural relaxation.

abc: 4.318 4.318 4.318
angles: 60.00 60.00 60.00
Sites, in units of the cell vectors:
1 Ag 0.500 0.500 0.500
2 As 0.000 0.000 0.000
3 Co 0.750 0.750 0.750
4 Cu 0.250 0.250 0.250

Computed properties:
symmetry: F-43m (216)
spin magnetization: 1.18 Bohr magnetons per cell


8.
A plane-wave DFT calculation with PBE-GGA was carried out for CoAgHgAs after structural relaxation.

abc: 4.592 4.592 4.592
angles: 60.00 60.00 60.00
Sites, in units of the cell vectors:
1 Ag 0.250 0.250 0.250
2 As 0.000 0.000 0.000
3 Co 0.750 0.750 0.750
4 Hg 0.500 0.500 0.500

Computed properties:
symmetry: F-43m (216)
spin magnetization: 0.89 Bohr magnetons per cell


9.
A plane-wave DFT calculation with PBE-GGA was carried out for CoAgAsIr after structural relaxation.

abc: 4.363 4.363 4.363
angles: 60.00 60.00 60.00
Each line ends with the local moment (μB).
Sites, in units of the cell vectors:
1 Ag 0.500 0.500 0.500  -0.03
2 As 0.000 0.000 0.000  -0.01
3 Co 0.750 0.750 0.750  1.22
4 Ir 0.250 0.250 0.250  0.07

Computed properties:
symmetry: F-43m (216)
spin magnetization: 1.19 Bohr magnetons per cell


10.
A plane-wave DFT calculation with PBE-GGA was carried out for LiCoAgAs after structural relaxation.

abc: 4.319 4.319 4.319
angles: 60.00 60.00 60.00
Sites, in units of the cell vectors:
1 Ag 0.250 0.250 0.250
2 As 0.000 0.000 0.000
3 Co 0.750 0.750 0.750
4 Li 0.500 0.500 0.500

Computed properties:
symmetry: F-43m (216)
spin magnetization: 1.40 Bohr magnetons per cell


11.
A plane-wave DFT calculation with PBE-GGA was carried out for LiCoAgAs after structural relaxation.

abc: 4.295 4.295 4.295
angles: 60.00 60.00 60.00
Sites, in units of the cell vectors:
1 Ag 0.500 0.500 0.500
2 As 0.000 0.000 0.000
3 Co 0.750 0.750 0.750
4 Li 0.250 0.250 0.250

Computed properties:
symmetry: F-43m (216)
spin magnetization: 0.01 Bohr magnetons per cell


12.
A plane-wave DFT calculation with PBE-GGA was carried out for LuCoAgAs after structural relaxation.

abc: 4.607 4.607 4.607
angles: 60.00 60.00 60.00
Sites, in units of the cell vectors:
1 Ag 0.500 0.500 0.500
2 As 0.000 0.000 0.000
3 Co 0.750 0.750 0.750
4 Lu 0.250 0.250 0.250

Computed properties:
symmetry: F-43m (216)
spin magnetization: 0.01 Bohr magnetons per cell


Number 1: energy -2.0804 eV per atom. Number 2: energy -3.2224 eV per atom. Number 3: energy -3.0889 eV per atom. Number 4: energy -4.9033 eV per atom. Number 5: energy -5.2263 eV per atom. Number 6: energy -3.9869 eV per atom. Number 7: energy -4.3278 eV per atom. Number 8: energy -3.2805 eV per atom. Number 9: energy -5.5129 eV per atom. Number 10: energy -4.0945 eV per atom. Number 11: energy -4.1671 eV per atom. Number 12: energy -4.9369 eV per atom.